(1)
This record from Alexandria via LeMat-Bulk describes crystalline Nd3GaPd at its relaxed geometry. The functional is PBE.

Properties
calculated formation energy	-45.2	kJ/mol of atoms
SG	No. 6

Cell lengths 4.6465, 6.9614, 8.9189 Å; angles 103.83, 90.00, 90.00 degrees
Last column: nearest neighbours and their distance in Å.
Fractional coordinates of all 10 atoms:
Nd (0.5431, 0.0073, 0.7582)  1 Pd 2.97, 2 Ga 3.01
Nd (0.5432, 0.4637, 0.0452)  3 Pd 3.12, 4 Ga 3.25-3.28, 1 Nd 3.37
Nd (0.0431, 0.1632, 0.5003)  3 Pd 2.92-3.10
Nd (0.0431, 0.6506, 0.8130)  2 Pd 2.95, 1 Ga 3.25
Nd (0.5431, 0.6048, 0.4345)  3 Pd 2.93-3.10, 2 Ga 3.22
Nd (0.5431, 0.0183, 0.1805)  4 Ga 3.11-3.14, 2 Pd 3.30
Ga (0.0431, 0.7464, 0.2346)  1 Pd 2.68
Ga (0.0431, 0.1207, 0.9754)  1 Pd 2.62
Pd (0.5431, 0.4025, 0.6869)  7 Nd 2.93-3.12
Pd (0.0431, 0.3658, 0.2483)  2 Ga 2.62-2.68, 1 Nd 2.92



(2)
This record from Alexandria via LeMat-Bulk describes crystalline Nd6GaPd2 at its relaxed geometry. The functional is PBE.

Properties
calculated formation energy	-44.5	kJ/mol of atoms
SG	No. 71

Cell lengths 8.7696, 8.7696, 8.7696 Å; angles 105.70, 109.51, 113.29 degrees
Last column: nearest neighbours and their distance in Å.
Fractional coordinates of all 18 atoms:
Nd (0.5389, 0.7171, 0.8218)  3 Pd 3.09-3.22, 1 Ga 3.27
Nd (0.4611, 0.2829, 0.1782)  3 Pd 3.09-3.22, 1 Ga 3.27
Nd (0.1047, 0.2829, 0.8218)  3 Pd 3.09-3.22, 1 Ga 3.27
Nd (0.8953, 0.7171, 0.1782)  3 Pd 3.09-3.22, 1 Ga 3.27
Nd (0.8087, 0.7595, 0.5682)  1 Pd 3.00, 1 Ga 3.20
Nd (0.1913, 0.2405, 0.4318)  1 Pd 3.00, 1 Ga 3.20
Nd (0.1913, 0.7595, 0.9508)  1 Pd 3.00, 1 Ga 3.20
Nd (0.8087, 0.2405, 0.0492)  1 Pd 3.00, 1 Ga 3.20
Nd (0.7014, 0.3724, 0.6710)  3 Pd 2.86-3.07
Nd (0.2986, 0.6276, 0.3290)  3 Pd 2.86-3.07
Nd (0.2986, 0.9695, 0.6710)  3 Pd 2.86-3.07
Nd (0.7014, 0.0305, 0.3290)  3 Pd 2.86-3.07
Ga (0.0000, 0.5000, 0.5000)  8 Nd 3.36-3.40
Ga (0.0000, 0.0000, 0.0000)  8 Nd 3.20-3.27, 2 Pd 3.51
Pd (0.5000, 0.3691, 0.8691)  1 Pd 2.77, 6 Nd 2.86-3.09
Pd (0.5000, 0.6309, 0.1309)  1 Pd 2.77, 6 Nd 2.86-3.09
Pd (0.6529, 0.0000, 0.6529)  8 Nd 3.00-3.22, 1 Pd 3.10
Pd (0.3471, 0.0000, 0.3471)  8 Nd 3.00-3.22, 1 Pd 3.10